No. 1
First-principles (GGA-PBE) data for an optimized crystal structure of CdTcHg2, as listed in Alexandria.

Calculated values
symmetry: P4/mmm (123)
total magnetic moment: 1.133 Bohr magnetons per cell
E: -0.094 hartree per atom
volume: 77.3 Å³/f.u.

abc: 4.2819 4.2819 4.2144
angles: 90.00 90.00 90.00
With the nearest neighbours (Å) after each atom.
Element x y z (fractional)
Cd1 0.0000 0.0000 0.0000  8 Hg 3.00, 4 Tc 3.03
Tc1 0.5000 0.5000 0.0000  8 Hg 3.00, 4 Cd 3.03
Hg1 0.0000 0.5000 0.5000  4 Cd 3.00, 4 Tc 3.00, 4 Hg 3.03
Hg2 0.5000 0.0000 0.5000  4 Cd 3.00, 4 Tc 3.00, 4 Hg 3.03

No. 2
First-principles (GGA-PBE) data for an optimized crystal structure of CdTcHg2, as listed in Alexandria.

Calculated values
symmetry: Cmmm (65)
total magnetic moment: 0.973 Bohr magnetons per cell
E: -0.092 hartree per atom
volume: 77.7 Å³/f.u.

abc: 5.1689 5.1689 3.0865
angles: 90.00 90.00 109.52
With the nearest neighbours (Å) after each atom.
Element x y z (fractional)
Cd1 0.0000 0.0000 0.0000  2 Tc 2.98, 8 Hg 3.01, 2 Cd 3.09
Tc1 0.5000 0.5000 0.0000  2 Cd 2.98, 8 Hg 3.01, 2 Tc 3.09
Hg1 0.0000 0.5000 0.5000  4 Hg 2.98-3.09, 4 Cd 3.01, 4 Tc 3.01
Hg2 0.5000 0.0000 0.5000  4 Hg 2.98-3.09, 4 Cd 3.01, 4 Tc 3.01

Q: What is the E in the first record?
A: -0.094 hartree per atom